(1)
# ZnCrTc2Rh, relaxed, DFT PBE-GGA
# - electronic total energy (eV/cell) = -32.9
# - ΔE_f (eV per atom) = 1.210
data_ZnCrTc2Rh
_symmetry_space_group_name_H-M 'P 4/m m m'
_symmetry_Int_Tables_number 123
_symmetry_space_group_name_Hall '-P 4 2'
_cell_length_a 4.3230
_cell_length_b 4.3230
_cell_length_c 4.5260
_cell_angle_alpha 90.00
_cell_angle_beta 90.00
_cell_angle_gamma 90.00
loop_
_atom_site_label
_atom_site_type_symbol
_atom_site_fract_x
_atom_site_fract_y
_atom_site_fract_z
Zn1 Zn 0.0000 0.0000 0.0000
Cr1 Cr 0.0000 0.0000 0.5000
Tc1 Tc 0.0000 0.5000 0.5000
Rh1 Rh 0.5000 0.5000 0.0000


(2)
# Sr2AsRh2, relaxed, DFT PBE-GGA
# - electronic total energy (eV/cell) = -49.6
# - ΔE_f (eV per atom) = -0.417
# - distance to the lowest polymorph of the same formula (meV/atom) = 221.0
data_Sr2AsRh2
_symmetry_space_group_name_H-M 'P 4/m b m'
_symmetry_Int_Tables_number 127
_symmetry_space_group_name_Hall '-P 4 2ab'
_cell_length_a 6.8824
_cell_length_b 6.8824
_cell_length_c 4.7106
_cell_angle_alpha 90.00
_cell_angle_beta 90.00
_cell_angle_gamma 90.00
loop_
_atom_site_label
_atom_site_type_symbol
_atom_site_fract_x
_atom_site_fract_y
_atom_site_fract_z
Sr1 Sr 0.1761 0.3239 0.0000
As1 As 0.0000 0.0000 0.5000
Rh1 Rh 0.1419 0.6419 0.5000


(3)
# Tb4Zn3Ag, relaxed, DFT PBE-GGA
# - electronic total energy (eV/cell) = -27.9
# - ΔE_f (eV per atom) = -0.336
# - distance to the lowest polymorph of the same formula (meV/atom) = 0.0
data_Tb4Zn3Ag
_symmetry_space_group_name_H-M 'P 4/m m m'
_symmetry_Int_Tables_number 123
_symmetry_space_group_name_Hall '-P 4 2'
_cell_length_a 3.6043
_cell_length_b 3.6043
_cell_length_c 14.3368
_cell_angle_alpha 90.00
_cell_angle_beta 90.00
_cell_angle_gamma 90.00
loop_
_atom_site_label
_atom_site_type_symbol
_atom_site_fract_x
_atom_site_fract_y
_atom_site_fract_z
Tb1 Tb 0.0000 0.0000 0.1231
Tb2 Tb 0.0000 0.0000 0.3690
Zn1 Zn 0.5000 0.5000 0.0000
Zn2 Zn 0.5000 0.5000 0.2453
Ag1 Ag 0.5000 0.5000 0.5000


(4)
# Tb2Nd2Th15, relaxed, DFT PBE-GGA
# - electronic total energy (eV/cell) = -374.8
# - ΔE_f (eV per atom) = 0.271
data_Tb2Nd2Th15
_symmetry_space_group_name_H-M 'R -3 m'
_symmetry_Int_Tables_number 166
_symmetry_space_group_name_Hall '-R 3 2"'
_cell_length_a 11.5284
_cell_length_b 11.5284
_cell_length_c 17.1438
_cell_angle_alpha 90.00
_cell_angle_beta 90.00
_cell_angle_gamma 120.00
loop_
_atom_site_label
_atom_site_type_symbol
_atom_site_fract_x
_atom_site_fract_y
_atom_site_fract_z
Tb1 Tb 0.0000 0.0000 0.1012
Nd1 Nd 0.0000 0.0000 0.3436
Th1 Th 0.0000 0.3047 0.0000
Th2 Th 0.0000 0.5000 0.5000
Th3 Th 0.0133 0.5067 0.1624


(5)
# NdDyNiIr, relaxed, DFT PBE-GGA
# - electronic total energy (eV/cell) = -52.7
# - ΔE_f (eV per atom) = -0.580
# - distance to the lowest polymorph of the same formula (meV/atom) = 0.0
data_NdDyNiIr
_symmetry_space_group_name_H-M 'A m m 2'
_symmetry_Int_Tables_number 38
_symmetry_space_group_name_Hall 'A 2 -2'
_cell_length_a 4.1031
_cell_length_b 3.9367
_cell_length_c 10.8316
_cell_angle_alpha 90.00
_cell_angle_beta 90.00
_cell_angle_gamma 90.00
loop_
_atom_site_label
_atom_site_type_symbol
_atom_site_fract_x
_atom_site_fract_y
_atom_site_fract_z
Nd1 Nd 0.0000 0.0000 0.0000
Dy1 Dy 0.5000 0.0000 0.7167
Ni1 Ni 0.5000 0.0000 0.4275
Ir1 Ir 0.0000 0.0000 0.2779


(6)
# K11TlHg2, relaxed, DFT PBE-GGA
# - electronic total energy (eV/cell) = -61.0
# - ΔE_f (eV per atom) = -0.015
data_K11TlHg2
_symmetry_space_group_name_H-M 'I b a m'
_symmetry_Int_Tables_number 72
_symmetry_space_group_name_Hall '-I 2 2c'
_cell_length_a 13.1189
_cell_length_b 16.5916
_cell_length_c 17.3787
_cell_angle_alpha 90.00
_cell_angle_beta 90.00
_cell_angle_gamma 90.00
loop_
_atom_site_label
_atom_site_type_symbol
_atom_site_fract_x
_atom_site_fract_y
_atom_site_fract_z
K1 K 0.0000 0.0000 0.0000
K2 K 0.1070 0.3111 0.1584
K3 K 0.1288 0.2195 0.5000
K4 K 0.2151 0.4445 0.3706
Tl1 Tl 0.0000 0.5000 0.2500
Hg1 Hg 0.1396 0.1783 0.0000


(7)
# YTm6Co2, relaxed, DFT PBE-GGA
# - electronic total energy (eV/cell) = -193.1
# - ΔE_f (eV per atom) = -0.085
data_YTm6Co2
_symmetry_space_group_name_H-M 'I m m m'
_symmetry_Int_Tables_number 71
_symmetry_space_group_name_Hall '-I 2 2'
_cell_length_a 9.4007
_cell_length_b 9.7264
_cell_length_c 9.9491
_cell_angle_alpha 90.00
_cell_angle_beta 90.00
_cell_angle_gamma 90.00
loop_
_atom_site_label
_atom_site_type_symbol
_atom_site_fract_x
_atom_site_fract_y
_atom_site_fract_z
Y1 Y 0.0000 0.0000 0.0000
Y2 Y 0.0000 0.0000 0.5000
Tm1 Tm 0.0000 0.2171 0.2421
Tm2 Tm 0.1857 0.5000 0.1818
Tm3 Tm 0.2137 0.3140 0.5000
Co1 Co 0.0000 0.3124 0.0000
Co2 Co 0.0000 0.5000 0.3865


(8)
# TbY3Ag2, relaxed, DFT PBE-GGA
# - electronic total energy (eV/cell) = -30.9
# - ΔE_f (eV per atom) = -0.204
# - distance to the lowest polymorph of the same formula (meV/atom) = 0.0
data_TbY3Ag2
_symmetry_space_group_name_H-M 'P 4/m m m'
_symmetry_Int_Tables_number 123
_symmetry_space_group_name_Hall '-P 4 2'
_cell_length_a 3.6280
_cell_length_b 3.6280
_cell_length_c 12.3294
_cell_angle_alpha 90.00
_cell_angle_beta 90.00
_cell_angle_gamma 90.00
loop_
_atom_site_label
_atom_site_type_symbol
_atom_site_fract_x
_atom_site_fract_y
_atom_site_fract_z
Tb1 Tb 0.0000 0.0000 0.0000
Y1 Y 0.5000 0.5000 0.2024
Y2 Y 0.5000 0.5000 0.5000
Ag1 Ag 0.0000 0.0000 0.3511


no.,theoretical density (Mg/m³)
1,8.17
2,6.79
3,8.38
4,10.32
5,10.59
6,1.82
7,8.91
8,6.56